No. 1
First-principles (GGA-PBE) data for Mg3CdAg5 after structural relaxation, as listed in Alexandria.

abc: 8.1627 8.1627 8.1627
angles: 122.64 122.64 85.48
Last column: nearest neighbours and their distance in Å.
Fractional coordinates of all 18 atoms:
Mg1 0.1168 0.6168 0.7336  2 Ag 2.54, 1 Mg 2.59
Mg2 0.2500 0.2500 0.0000  10 Ag 3.00-3.15
Mg3 0.3832 0.1168 0.5000  2 Ag 2.54, 1 Mg 2.59
Mg4 0.6168 0.8832 0.5000  2 Ag 2.54, 1 Mg 2.59
Mg5 0.7500 0.7500 0.0000  10 Ag 3.00-3.15
Mg6 0.8832 0.3832 0.2664  2 Ag 2.54, 1 Mg 2.59
Cd1 0.2500 0.7500 0.5000  4 Ag 2.67
Cd2 0.7500 0.2500 0.5000  4 Ag 2.67
Ag1 0.0000 0.0000 0.0000  6 Mg 3.00-3.14, 8 Ag 3.23
Ag2 0.0719 0.1627 0.5000  1 Mg 2.54, 1 Cd 2.67
Ag3 0.1627 0.6627 0.0908  1 Mg 2.54, 1 Cd 2.67
Ag4 0.3373 0.4281 0.5000  1 Mg 2.54, 1 Cd 2.67
Ag5 0.4281 0.9281 0.0908  1 Mg 2.54, 1 Cd 2.67
Ag6 0.5000 0.5000 0.0000  6 Mg 3.00-3.14, 8 Ag 3.23
Ag7 0.5719 0.0719 0.9092  1 Mg 2.54, 1 Cd 2.67
Ag8 0.6627 0.5719 0.5000  1 Mg 2.54, 1 Cd 2.67
Ag9 0.8373 0.3373 0.9092  1 Mg 2.54, 1 Cd 2.67
Ag10 0.9281 0.8373 0.5000  1 Mg 2.54, 1 Cd 2.67

Output
* symmetry: I4/mcm
* distance to the lowest polymorph of the same formula: 0.2413 eV/atom
* calculated density: 6.54 g cm⁻³
* energy of formation: 0.073 eV per atom

=====

No. 2
First-principles (GGA-PBE) data for Pm2CuPt2 after structural relaxation, as listed in Alexandria.

abc: 5.8270 5.8270 10.7767
angles: 115.89 115.89 42.46
Last column: nearest neighbours and their distance in Å.
Fractional coordinates of all 10 atoms:
Pm1 0.0162 0.0162 0.3412  4 Cu 2.99-3.32, 6 Pt 3.06-3.15
Pm2 0.1867 0.1867 0.1084  6 Pt 2.99-3.23, 2 Cu 3.19
Pm3 0.8133 0.8133 0.8916  6 Pt 2.99-3.23, 2 Cu 3.19
Pm4 0.9838 0.9838 0.6588  4 Cu 2.99-3.32, 6 Pt 3.06-3.15
Cu1 0.2889 0.2889 0.6592  3 Pt 2.53-2.66
Cu2 0.7111 0.7111 0.3408  3 Pt 2.53-2.66
Pt1 0.3556 0.3556 0.4278  2 Cu 2.53, 1 Pt 2.77
Pt2 0.4642 0.4642 0.1129  1 Cu 2.66, 1 Pt 2.88
Pt3 0.5358 0.5358 0.8871  1 Cu 2.66, 1 Pt 2.88
Pt4 0.6444 0.6444 0.5722  2 Cu 2.53, 1 Pt 2.77

Output
* symmetry: C2/m
* calculated density: 11.32 g cm⁻³
* energy of formation: -0.889 eV per atom

=====

No. 3
First-principles (GGA-PBE) data for Ta2InBr after structural relaxation, as listed in Alexandria.

abc: 4.8644 4.8644 4.8644
angles: 60.00 60.00 60.00
Last column: nearest neighbours and their distance in Å.
Fractional coordinates of all 4 atoms:
Ta1 0.0000 0.0000 0.0000  4 Ta 2.98, 4 Br 2.98
Ta2 0.2500 0.2500 0.2500  4 Ta 2.98, 4 In 2.98
In1 0.5000 0.5000 0.5000  4 Ta 2.98, 4 Br 2.98
Br1 0.7500 0.7500 0.7500  4 Ta 2.98, 4 In 2.98

Output
* symmetry: F-43m
* distance to the lowest polymorph of the same formula: 0.7853 eV/atom
* formation energy without anion corrections: 0.86 eV per atom
* calculated density: 11.36 g cm⁻³

=====

No. 4
First-principles (GGA-PBE) data for PaAsO after structural relaxation, as listed in Alexandria.

abc: 9.7163 9.7163 9.7163
angles: 23.39 23.39 23.39
Last column: nearest neighbours and their distance in Å.
Fractional coordinates of all 6 atoms:
Pa1 0.1112 0.1112 0.1112  4 O 2.36-2.41
Pa2 0.8888 0.8888 0.8888  4 O 2.36-2.41
As1 0.3869 0.3869 0.3869  3 Pa 2.80
As2 0.6131 0.6131 0.6131  3 Pa 2.80
O1 0.1944 0.1944 0.1944  4 Pa 2.36-2.41
O2 0.8056 0.8056 0.8056  4 Pa 2.36-2.41

Output
* symmetry: R-3m
* distance to the lowest polymorph of the same formula: 0.2714 eV/atom
* formation energy without anion corrections: -1.95 eV per atom
* calculated density: 8.42 g cm⁻³